Record 1
Computed, not measured: crystalline Pr3Hf at its relaxed geometry at the GGA-PBE level of DFT.

## Properties
energy relative to the lowest polymorph listed for this composition = 129 meV per atom
formation energy from the elements = 332 meV per atom

a b c (Å): 3.4067 3.4202 11.2924
angles (deg): 90.00 90.00 90.00
Space group Pmm2 (No. 25)
One atom of each set of equivalent atoms:
Pr 0.0000 0.0000 0.0000 x1
Pr 0.0000 0.5000 0.4544 x1
Pr 0.5000 0.5000 0.7494 x1
Hf 0.5000 0.0000 0.2504 x1


Record 2
Computed, not measured: crystalline MgCd2In6 at its relaxed geometry at the GGA-PBE level of DFT.

## Properties
energy relative to the lowest polymorph listed for this composition = 0 meV per atom
formation energy from the elements = -9 meV per atom

a b c (Å): 9.8341 9.8341 4.7113
angles (deg): 90.00 90.00 90.00
Space group P4_2/mnm (No. 136)
One atom of each set of equivalent atoms:
Mg 0.0000 0.0000 0.0000 x2
Cd 0.1654 0.1654 0.5000 x4
In 0.0025 0.3283 0.0000 x8
In 0.1608 0.8392 0.5000 x4